A plane-wave DFT calculation with GGA-PBE was carried out for an optimized crystal structure of Ir3PdC.

As for the energy above the most stable polymorph in this dataset: 2991 meV per atom. Its crystal system is cubic. The calculation puts the final energy at -4.699 eV per atom.

The space group is Pm-3m (No. 221) and the conventional cell measures 4.755, 4.755 and 4.755 Å, with angles of 90.00, 90.00 and 90.00 degrees. The inequivalent atoms are Ir at (0.000, 0.000, 0.500), Pd at (0.000, 0.000, 0.000) and C at (0.500, 0.500, 0.500).